Entry 1:
Compound: Pm5Nd2Y5
Source: Alexandria via LeMat-Bulk
Functional: GGA-PBE
Structure: optimized geometry

abc: 5.1292 8.0952 11.4439
angles: 115.11 90.00 108.47
Fractional positions:
Pm  0.4160  0.8319  0.7495
Pm  0.3335  0.6671  0.0005
Pm  0.5000  0.0000  0.5000
Pm  0.5840  0.1681  0.2505
Pm  0.6665  0.3329  0.9995
Y  0.8324  0.6647  0.4993
Y  0.2497  0.4995  0.2504
Y  0.7503  0.5005  0.7496
Y  0.0000  0.0000  0.0000
Y  0.1676  0.3353  0.5007
Nd  0.0828  0.1657  0.7495
Nd  0.9172  0.8343  0.2505

## Properties
Energy of formation: 0.01 eV/atom
Crystal system: monoclinic


Entry 2:
Compound: CsIn4Pb4
Source: Alexandria via LeMat-Bulk
Functional: GGA-PBE
Structure: optimized geometry

abc: 6.4678 10.2665 10.2665
angles: 90.00 90.00 90.00
Fractional positions:
In  0.3775  0.6676  0.8443
In  0.6225  0.8443  0.3324
In  0.8775  0.6557  0.1676
In  0.1225  0.8324  0.6557
In  0.1225  0.1676  0.3443
In  0.6225  0.1557  0.6676
In  0.8775  0.3443  0.8324
In  0.3775  0.3324  0.1557
Pb  0.3695  0.6394  0.1401
Pb  0.1305  0.8606  0.3599
Pb  0.1305  0.1394  0.6401
Pb  0.8695  0.6401  0.8606
Pb  0.6305  0.8599  0.6394
Pb  0.3695  0.3606  0.8599
Pb  0.8695  0.3599  0.1394
Pb  0.6305  0.1401  0.3606
Cs  0.5000  0.5000  0.5000
Cs  0.0000  0.0000  0.0000

## Properties
Energy of formation: 0.03 eV/atom
Crystal system: tetragonal


Entry 3:
Compound: LaTa2Zn
Source: Alexandria via LeMat-Bulk
Functional: GGA-PBE
Structure: optimized geometry

abc: 4.8472 4.8472 10.1765
angles: 76.22 76.22 90.00
Fractional positions:
Ta  0.8750  0.6251  0.7500
Ta  0.3751  0.1250  0.2500
Ta  0.3749  0.6250  0.2500
Ta  0.3750  0.6249  0.7500
La  0.0000  0.0000  0.0000
La  0.7500  0.2500  0.5000
Zn  0.5000  0.5000  0.0000
Zn  0.2500  0.7500  0.5000

## Properties
Energy of formation: 0.89 eV/atom
Crystal system: tetragonal


Entry 4:
Compound: SmZn2Co2Si
Source: Alexandria via LeMat-Bulk
Functional: GGA-PBE
Structure: optimized geometry

abc: 4.2392 4.2392 5.6503
angles: 90.00 90.00 90.00
Site moments in Bohr magnetons follow the coordinates.
Fractional positions:
Zn  0.5000  0.5000  0.2627  -0.02
Zn  0.5000  0.5000  0.7373  -0.02
Si  0.0000  0.0000  0.0000  -0.01
Co  0.0000  0.5000  0.0000  0.65
Co  0.5000  0.0000  0.0000  0.65
Sm  0.0000  0.0000  0.5000  -0.03

## Properties
Crystal system: tetragonal
E_form (uncorrected): -120 kJ/mol of formula units


Entry 5:
Compound: SmGdY2
Source: Alexandria via LeMat-Bulk
Functional: GGA-PBE
Structure: optimized geometry

abc: 5.7203 5.7203 5.7203
angles: 60.00 60.00 60.00
Site moments in Bohr magnetons follow the coordinates.
Fractional positions:
Gd  0.5000  0.5000  0.5000  7.27
Sm  0.0000  0.0000  0.0000  0.05
Y  0.2500  0.2500  0.2500  0.10
Y  0.7500  0.7500  0.7500  0.10

## Properties
Excess energy over the best structure of this formula in the dataset: 89 meV per atom
Energy of formation: 0.11 eV/atom
Crystal system: cubic


Entry 6:
Compound: CdGeH2
Source: Alexandria via LeMat-Bulk
Functional: GGA-PBE
Structure: optimized geometry

abc: 5.7449 5.7449 5.6515
angles: 59.45 59.45 90.00
Fractional positions:
Ge  0.5000  0.5000  0.0000
Ge  0.2500  0.7500  0.5000
Cd  0.7500  0.2500  0.5000
Cd  0.0000  0.0000  0.0000
H  0.3750  0.5794  0.7500
H  0.8750  0.6706  0.7500
H  0.4206  0.1250  0.2500
H  0.3294  0.6250  0.2500

## Properties
Excess energy over the best structure of this formula in the dataset: 0 meV per atom
Crystal system: tetragonal